# TlGaSb2 (PBE, optimized geometry)
data_TlGaSb2
_cell_length_a 3.4330
_cell_length_b 3.4330
_cell_length_c 33.2446
_cell_angle_alpha 90.00
_cell_angle_beta 90.00
_cell_angle_gamma 120.00
_space_group_name_H-M_alt 'R -3 m'
_space_group_IT_number 166
_space_group_name_Hall '-R 3 2"'
loop_
_atom_site_label
_atom_site_fract_x
_atom_site_fract_y
_atom_site_fract_z
_atom_site_occupancy
Tl1 0.0000 0.0000 0.0000 1
Ga1 0.0000 0.0000 0.5000 1
Sb1 0.0000 0.0000 0.1016 1
# energy relative to the elements, uncorrected = 0.130 eV per atom
# ρ = 7.599 g cm⁻³
# density of states at the Fermi level = 3.5 states/eV/cell
# energy above the lowest structure with this stoichiometry = 0.140 eV per atom